Material: BaCr2MoO8
Method: DFT, PBE+U
State: optimized geometry

abc: 5.5533 5.5533 7.3169
angles: 90.00 90.00 120.00
Closest atoms and distances in Å follow each position.
Fractional positions:
Ba  0.0000  0.0000  0.0000  12 O 2.92-3.21
Cr  0.3333  0.6667  0.7396  4 O 1.68-1.82
Cr  0.6667  0.3333  0.2604  4 O 1.68-1.82
Mo  0.0000  0.0000  0.5000  6 O 1.94
O  0.0989  0.3134  0.6604  1 Cr 1.82, 1 Mo 1.94
O  0.2145  0.9011  0.6604  1 Cr 1.82, 1 Mo 1.94
O  0.3134  0.2145  0.3396  1 Cr 1.82, 1 Mo 1.94
O  0.3333  0.6667  0.9686  1 Cr 1.68
O  0.6667  0.3333  0.0314  1 Cr 1.68
O  0.6866  0.7855  0.6604  1 Cr 1.82, 1 Mo 1.94
O  0.7855  0.0989  0.3396  1 Cr 1.82, 1 Mo 1.94
O  0.9011  0.6866  0.3396  1 Cr 1.82, 1 Mo 1.94

## Properties
M_tot (μB/cell): 4.00
Theoretical density (Mg/m³): 3.953
Uncorrected energy (eV per atom): -7.04
V (Å³ per cell): 195